i.
A plane-wave DFT calculation with PBE was carried out for Tm2RuO after structural relaxation.

Values from the calculation:
space-group type	R-3m (166)

abc: 3.3504 3.3504 21.0297
angles: 90.00 90.00 120.00
With the nearest neighbours (Å) after each atom.
Fractional coordinates of all 12 atoms:
Tm  0.0000  0.0000  0.2376  3 O 2.44
Tm  0.0000  0.0000  0.7624  3 O 2.44
Tm  0.3333  0.6667  0.4291  3 O 2.44
Tm  0.3333  0.6667  0.9042  3 O 2.44
Tm  0.6667  0.3333  0.0958  3 O 2.44
Tm  0.6667  0.3333  0.5709  3 O 2.44
Ru  0.0000  0.0000  0.0000  6 Tm 2.79
Ru  0.3333  0.6667  0.6667  6 Tm 2.79
Ru  0.6667  0.3333  0.3333  6 Tm 2.79
O  0.0000  0.0000  0.5000  6 Tm 2.44
O  0.3333  0.6667  0.1667  6 Tm 2.44
O  0.6667  0.3333  0.8333  6 Tm 2.44

***

ii.
A plane-wave DFT calculation with PBE was carried out for Tm2RuO after structural relaxation.

Values from the calculation:
space-group type	P4/mmm (123)

abc: 3.1602 3.1602 6.6380
angles: 90.00 90.00 90.00
With the nearest neighbours (Å) after each atom.
Fractional coordinates of all 4 atoms:
Tm  0.0000  0.0000  0.2387  4 O 2.74, 4 Ru 2.83
Tm  0.0000  0.0000  0.7613  4 O 2.74, 4 Ru 2.83
Ru  0.5000  0.5000  0.5000  8 Tm 2.83, 4 Ru 3.16
O  0.5000  0.5000  0.0000  8 Tm 2.74

***

i has the most favorable energy; the next structure is 25.8 kJ/mol of atoms above.